<1>
An optimized crystal structure of HfTh2Zn. Source: Alexandria via LeMat-Bulk, functional PBE-GGA.

## Properties
**Calculated volume**: 105 Å³/cell

Unit cell a=3.373 b=3.373 c=9.246 alpha=90.00 beta=90.00 gamma=90.00
Space group P4/mmm (No. 123)
Asymmetric unit:
Hf 0.000 0.000 0.000
Th 0.500 0.500 0.262
Zn 0.000 0.000 0.500


<2>
An optimized crystal structure of HfTh2Zn. Source: Alexandria via LeMat-Bulk, functional PBE-GGA.

## Properties
**Calculated volume**: 105 Å³/cell

Unit cell a=5.449 b=5.449 c=3.526 alpha=90.00 beta=90.00 gamma=90.00
Space group P4/mmm (No. 123)
Asymmetric unit:
Hf 0.000 0.000 0.000
Th 0.000 0.500 0.500
Zn 0.500 0.500 0.000


<3>
An optimized crystal structure of HfTh2Zn. Source: Alexandria via LeMat-Bulk, functional PBE-GGA.

## Properties
**Calculated volume**: 320 Å³/cell

Unit cell a=3.2799 b=3.2799 c=34.3973 alpha=90.00 beta=90.00 gamma=120.00
Space group R-3m (No. 166, hexagonal axes)
Asymmetric unit:
Hf 0.0000 0.0000 0.0000
Th 0.0000 0.0000 0.0909
Zn 0.0000 0.0000 0.5000


Stability ranking, top entry: <1>; the second entry is 8 meV per atom less favorable.


<1>
An optimized crystal structure of HfThZn4. Source: Alexandria via LeMat-Bulk, functional PBE-GGA.

## Properties
**Calculated volume**: 446 Å³/cell

Unit cell a=7.641 b=7.641 c=7.641 alpha=90.00 beta=90.00 gamma=90.00
Space group F-43m (No. 216)
Asymmetric unit:
Hf 0.000 0.000 0.000
Th 0.250 0.250 0.250
Zn 0.127 0.127 0.627


<2>
An optimized crystal structure of HfThZn4. Source: Alexandria via LeMat-Bulk, functional PBE-GGA.

## Properties
**Calculated volume**: 115 Å³/cell

Unit cell a=3.279 b=4.463 c=7.884 alpha=90.00 beta=90.00 gamma=90.00
Space group Pmmm (No. 47)
Asymmetric unit:
Hf 0.000 0.000 0.000
Th 0.000 0.500 0.500
Zn 0.500 0.000 0.311
Zn 0.500 0.500 0.154


Stability ranking, top entry: <2>; the second entry is 21 meV per atom less favorable.


<1>
An optimized crystal structure of HfThZr. Source: Alexandria via LeMat-Bulk, functional PBE-GGA.

## Properties
**Calculated volume**: 78 Å³/cell

Unit cell a=5.1778 b=5.1778 c=3.3771 alpha=90.00 beta=90.00 gamma=120.00
Space group P3m1 (No. 156)
Asymmetric unit:
Hf 0.0000 0.0000 0.0000
Th 0.6667 0.3333 0.5659
Zr 0.3333 0.6667 0.1418


<2>
An optimized crystal structure of HfThZr. Source: Alexandria via LeMat-Bulk, functional PBE-GGA.

## Properties
**Calculated volume**: 155 Å³/cell

Unit cell a=3.299 b=3.299 c=14.279 alpha=90.00 beta=90.00 gamma=90.00
Space group I4mm (No. 107)
Asymmetric unit:
Hf 0.000 0.000 0.000
Th 0.000 0.000 0.327
Zr 0.000 0.000 0.647


Stability ranking, top entry: <2>; the second entry is 31 meV per atom less favorable.


<1>
An optimized crystal structure of Hf4Ti. Source: Alexandria via LeMat-Bulk, functional PBE-GGA.

## Properties
**Calculated volume**: 426 Å³/cell

Unit cell a=4.795 b=6.099 c=14.564 alpha=90.00 beta=90.00 gamma=90.00
Space group Imma (No. 74)
Asymmetric unit:
Hf 0.000 0.000 0.000
Hf 0.000 0.003 0.200
Hf 0.000 0.250 0.602
Ti 0.000 0.250 0.394


<2>
An optimized crystal structure of Hf4Ti. Source: Alexandria via LeMat-Bulk, functional PBE-GGA.

## Properties
**Calculated volume**: 118 Å³/cell

Unit cell a=4.900 b=4.900 c=4.900 alpha=90.00 beta=90.00 gamma=90.00
Space group Pm-3m (No. 221)
Asymmetric unit:
Hf 0.000 0.000 0.000
Hf 0.000 0.500 0.500
Ti 0.500 0.500 0.500


Stability ranking, top entry: <1>; the second entry is 770 meV per atom less favorable.


<1>
An optimized crystal structure of Hf2Ti. Source: Alexandria via LeMat-Bulk, functional PBE-GGA.

## Properties
**Calculated volume**: 252 Å³/cell

Unit cell a=9.712 b=4.853 c=5.408 alpha=90.00 beta=98.46 gamma=90.00
Space group C2/m (No. 12)
Asymmetric unit:
Hf 0.066 0.000 0.275
Hf 0.234 0.500 0.170
Ti 0.110 0.500 0.653


<2>
An optimized crystal structure of Hf2Ti. Source: Alexandria via LeMat-Bulk, functional PBE-GGA.

## Properties
**Calculated volume**: 249 Å³/cell

Unit cell a=11.273 b=3.142 c=7.245 alpha=90.00 beta=104.09 gamma=90.00
Space group C2/m (No. 12)
Asymmetric unit:
Hf 0.026 0.000 0.289
Hf 0.195 0.500 0.642
Ti 0.143 0.500 0.026


Stability ranking, top entry: <2>; the second entry is 71 meV per atom less favorable.


<1>
An optimized crystal structure of Hf3Ti2. Source: Alexandria via LeMat-Bulk, functional PBE-GGA.

## Properties
**Calculated volume**: 412 Å³/cell

Unit cell a=7.760 b=7.760 c=6.838 alpha=90.00 beta=90.00 gamma=90.00
Space group P4_2/mnm (No. 136)
Asymmetric unit:
Hf 0.000 0.500 0.250
Hf 0.144 0.144 0.000
Hf 0.198 0.198 0.500
Ti 0.125 0.875 0.291


<2>
An optimized crystal structure of Hf3Ti2. Source: Alexandria via LeMat-Bulk, functional PBE-GGA.

## Properties
**Calculated volume**: 416 Å³/cell

Unit cell a=6.646 b=7.639 c=8.186 alpha=90.00 beta=90.00 gamma=90.00
Space group Pbcn (No. 60)
Asymmetric unit:
Hf 0.000 0.173 0.250
Hf 0.171 0.492 0.113
Ti 0.089 0.183 0.889


Stability ranking, top entry: <1>; the second entry is 126 meV per atom less favorable.